Below is a geometry-optimized V2Mo2O7 structure, with properties calculated at the PBE+U level.

Summary:
Offset from the most stable computed form   145 meV/atom
Calculated total energy   -0.54616 Ry per atom
Symmetry   No. 65

Unit cell a=4.9757 b=4.9757 c=5.0359 alpha=90.00 beta=90.00 gamma=90.78
With the nearest neighbours (Å) after each atom.
Fractional coordinates of all 11 atoms:
1 V 0.2349 0.7651 0.0000  3 O 1.88-2.08
2 V 0.7651 0.2349 0.0000  3 O 1.88-2.08
3 Mo 0.2291 0.2291 0.5000  6 O 2.05-2.15
4 Mo 0.7709 0.7709 0.5000  6 O 2.05-2.15
5 O 0.0000 0.0000 0.2471  2 Mo 2.05, 2 V 2.08
6 O 0.0000 0.0000 0.7529  2 Mo 2.05, 2 V 2.08
7 O 0.0000 0.5000 0.2582  2 Mo 2.15, 2 V 2.18
8 O 0.0000 0.5000 0.7418  2 Mo 2.15, 2 V 2.18
9 O 0.5000 0.0000 0.2582  2 Mo 2.15, 2 V 2.18
10 O 0.5000 0.0000 0.7418  2 Mo 2.15, 2 V 2.18
11 O 0.5000 0.5000 0.0000  2 V 1.88